1.
Density functional theory data (PBE-GGA) for a relaxed structure of Nd2Sn2Pd3Pt.

Its crystal system is trigonal. The space group is P3m1 (156).

a = 4.6322 Å, b = 4.6322 Å, c = 9.2642 Å
α = 90.00°, β = 90.00°, γ = 120.00°
Closest atoms and distances in Å follow each position.
Positions (direct):
Nd: 0.0000 0.0000 0.0000  7 Pd 3.07-3.09, 1 Pt 3.08
Nd: 0.3333 0.6667 0.5029  3 Pt 3.08, 5 Pd 3.10
Sn: 0.6667 0.3333 0.2496  6 Pd 2.78
Sn: 0.6667 0.3333 0.7490  3 Pt 2.78, 3 Pd 2.80
Pd: 0.0000 0.0000 0.3333  3 Sn 2.78, 3 Pd 3.08, 4 Nd 3.09-3.10, 1 Pt 3.09
Pd: 0.3333 0.6667 0.1681  3 Sn 2.78, 4 Pd 3.07-3.08, 4 Nd 3.09-3.10
Pd: 0.3333 0.6667 0.8373  3 Sn 2.80, 1 Pd 3.07, 4 Nd 3.07-3.10, 3 Pt 3.10
Pt: 0.0000 0.0000 0.6671  3 Sn 2.78, 4 Nd 3.08, 4 Pd 3.09-3.10

2.
Density functional theory data (PBE-GGA) for a relaxed structure of NdSn2PdPt.

Its crystal system is monoclinic. The space group is P2_1/m (11).

a = 4.6306 Å, b = 4.6175 Å, c = 10.6262 Å
α = 90.00°, β = 90.84°, γ = 90.00°
Closest atoms and distances in Å follow each position.
Positions (direct):
Nd: 0.2418 0.2500 0.2447  4 Pd 3.36-3.61, 8 Sn 3.49-3.57, 4 Pt 3.53-3.54
Nd: 0.7582 0.7500 0.7553  4 Pd 3.36-3.61, 8 Sn 3.49-3.57, 4 Pt 3.53-3.54
Sn: 0.2503 0.7500 0.4997  4 Pt 2.68-2.69
Sn: 0.2694 0.2500 0.8750  1 Pt 2.62, 4 Pd 2.66-2.68
Sn: 0.7306 0.7500 0.1250  1 Pt 2.62, 4 Pd 2.66-2.68
Sn: 0.7497 0.2500 0.5003  4 Pt 2.68-2.69
Pd: 0.2248 0.7500 0.9999  4 Sn 2.66-2.68
Pd: 0.7752 0.2500 0.0001  4 Sn 2.66-2.68
Pt: 0.2535 0.2500 0.6286  5 Sn 2.62-2.69
Pt: 0.7465 0.7500 0.3714  5 Sn 2.62-2.69

3.
Density functional theory data (PBE-GGA) for a relaxed structure of Nd2Sn4PdPt.

As for the polymorph energy (0 for the lowest one): 0 meV per atom. Its crystal system is monoclinic. The space group is Pm (6).

a = 4.5010 Å, b = 4.5620 Å, c = 9.9078 Å
α = 90.00°, β = 101.12°, γ = 90.00°
Closest atoms and distances in Å follow each position.
Positions (direct):
Nd: 0.0000 0.0000 0.0000  7 Sn 3.25-3.55, 4 Pd 3.33-3.50
Nd: 0.2959 0.5000 0.4452  7 Sn 3.27-3.55, 4 Pt 3.30-3.51
Sn: 0.3882 0.0000 0.7254  2 Pt 2.72-2.78, 2 Pd 2.73
Sn: 0.5004 0.5000 0.1464  1 Pd 2.63, 2 Sn 2.90
Sn: 0.7917 0.0000 0.2967  1 Pt 2.63, 2 Sn 2.90
Sn: 0.9040 0.5000 0.7210  2 Pd 2.70-2.75, 2 Pt 2.75
Pd: 0.4773 0.5000 0.8793  5 Sn 2.63-2.75
Pt: 0.8114 0.0000 0.5635  5 Sn 2.63-2.78

4.
Density functional theory data (PBE-GGA) for a relaxed structure of Nd2Sn2Pd3Pt.

Its crystal system is trigonal. The space group is P3m1 (156).

a = 4.6173 Å, b = 4.6173 Å, c = 9.2787 Å
α = 90.00°, β = 90.00°, γ = 120.00°
Closest atoms and distances in Å follow each position.
Positions (direct):
Nd: 0.0000 0.0000 0.0000  3 Pt 3.07, 5 Pd 3.10-3.11
Nd: 0.3333 0.6667 0.4968  7 Pd 3.06-3.09, 1 Pt 3.09
Sn: 0.6667 0.3333 0.2459  3 Pt 2.77, 3 Pd 2.79
Sn: 0.6667 0.3333 0.7466  6 Pd 2.77-2.78
Pd: 0.0000 0.0000 0.3346  3 Sn 2.79, 4 Nd 3.06-3.11, 1 Pd 3.07, 3 Pt 3.10
Pd: 0.0000 0.0000 0.6653  3 Sn 2.77, 4 Pd 3.07, 3 Nd 3.09
Pd: 0.3333 0.6667 0.8299  3 Sn 2.78, 3 Pd 3.07, 4 Nd 3.09-3.10, 1 Pt 3.10
Pt: 0.3333 0.6667 0.1635  3 Sn 2.77, 4 Nd 3.07-3.09, 4 Pd 3.10

5.
Density functional theory data (PBE-GGA) for a relaxed structure of Nd2Sn2PdPt3.

Its crystal system is trigonal. The space group is P3m1 (156).

a = 4.6286 Å, b = 4.6286 Å, c = 9.3161 Å
α = 90.00°, β = 90.00°, γ = 120.00°
Closest atoms and distances in Å follow each position.
Positions (direct):
Nd: 0.0000 0.0000 0.0000  5 Pt 3.06-3.12, 3 Pd 3.09
Nd: 0.3333 0.6667 0.4971  7 Pt 3.07-3.14, 1 Pd 3.13
Sn: 0.6667 0.3333 0.2473  6 Pt 2.79
Sn: 0.6667 0.3333 0.7447  3 Pt 2.77, 3 Pd 2.80
Pd: 0.3333 0.6667 0.8328  3 Sn 2.80, 4 Pt 3.04-3.09, 4 Nd 3.09-3.13
Pt: 0.0000 0.0000 0.3344  3 Sn 2.79, 4 Nd 3.07-3.12, 1 Pt 3.08
Pt: 0.0000 0.0000 0.6653  3 Sn 2.77, 1 Pt 3.08, 3 Pd 3.09, 3 Nd 3.10
Pt: 0.3333 0.6667 0.1595  3 Sn 2.79, 1 Pd 3.04, 3 Nd 3.06, 3 Pt 3.13

6.
Density functional theory data (PBE-GGA) for a relaxed structure of NdSn2PdPt.

Its crystal system is tetragonal. The space group is P4/nmm (129).

a = 4.6007 Å, b = 4.6007 Å, c = 10.6864 Å
α = 90.00°, β = 90.00°, γ = 90.00°
Closest atoms and distances in Å follow each position.
Positions (direct):
Nd: 0.2500 0.2500 0.2448  4 Pd 3.48, 8 Sn 3.49-3.57, 4 Pt 3.52
Nd: 0.7500 0.7500 0.7552  4 Pd 3.48, 8 Sn 3.49-3.57, 4 Pt 3.52
Sn: 0.2500 0.2500 0.8738  1 Pt 2.61, 4 Pd 2.67
Sn: 0.2500 0.7500 0.5000  4 Pt 2.69
Sn: 0.7500 0.2500 0.5000  4 Pt 2.69
Sn: 0.7500 0.7500 0.1262  1 Pt 2.61, 4 Pd 2.67
Pd: 0.2500 0.7500 0.0000  4 Sn 2.67
Pd: 0.7500 0.2500 0.0000  4 Sn 2.67
Pt: 0.2500 0.2500 0.6297  5 Sn 2.61-2.69
Pt: 0.7500 0.7500 0.3703  5 Sn 2.61-2.69

7.
Density functional theory data (PBE-GGA) for a relaxed structure of Nd2Sn4PdPt.

As for the polymorph energy (0 for the lowest one): 14 meV per atom. Its crystal system is orthorhombic. The space group is Amm2 (38).

a = 4.7144 Å, b = 9.8300 Å, c = 9.8300 Å
α = 26.02°, β = 90.00°, γ = 90.00°
Closest atoms and distances in Å follow each position.
Positions (direct):
Nd: 0.0000 0.0000 0.0000  10 Sn 3.44-3.66, 4 Pd 3.48
Nd: 0.5000 0.2154 0.2154  10 Sn 3.45-3.68, 4 Pt 3.48
Sn: 0.0000 0.3627 0.3627  2 Pt 2.69, 2 Pd 2.71
Sn: 0.0000 0.6474 0.6474  1 Pt 2.59, 2 Sn 2.81
Sn: 0.5000 0.5679 0.5679  1 Pd 2.58, 2 Sn 2.81
Sn: 0.5000 0.8537 0.8537  2 Pd 2.68, 2 Pt 2.72
Pd: 0.5000 0.4330 0.4330  5 Sn 2.58-2.71
Pt: 0.0000 0.7825 0.7825  5 Sn 2.59-2.72

8.
Density functional theory data (PBE-GGA) for a relaxed structure of Nd3Sn3PdPt2.

Its crystal system is orthorhombic. The space group is Amm2 (38).

a = 4.1516 Å, b = 7.6497 Å, c = 7.6497 Å
α = 120.02°, β = 90.00°, γ = 90.00°
Closest atoms and distances in Å follow each position.
Positions (direct):
Nd: 0.0000 0.0000 0.0000  4 Pt 3.10, 1 Pd 3.15, 6 Sn 3.30-3.45
Nd: 0.0000 0.4126 0.8254  4 Pt 3.11, 1 Pd 3.16, 6 Sn 3.30-3.45
Nd: 0.0000 0.8254 0.4126  4 Pt 3.11, 1 Pd 3.16, 6 Sn 3.30-3.45
Sn: 0.5000 0.1605 0.4132  2 Pd 2.83, 2 Pt 2.91
Sn: 0.5000 0.4132 0.1605  2 Pd 2.83, 2 Pt 2.91
Sn: 0.5000 0.6639 0.6639  2 Pd 2.83, 2 Pt 2.91
Pd: 0.0000 0.4123 0.4123  6 Sn 2.83, 3 Nd 3.15-3.16
Pt: 0.5000 0.0791 0.7466  3 Sn 2.91, 6 Nd 3.10-3.11
Pt: 0.5000 0.7466 0.0791  3 Sn 2.91, 6 Nd 3.10-3.11

9.
Density functional theory data (PBE-GGA) for a relaxed structure of Tb2NdSn3PdPt2.

Its crystal system is orthorhombic. The space group is Amm2 (38).

a = 4.0673 Å, b = 7.5863 Å, c = 7.5863 Å
α = 120.25°, β = 90.00°, γ = 90.00°
Closest atoms and distances in Å follow each position.
Positions (direct):
Tb: 0.0000 0.2047 0.7953  4 Pt 3.04-3.05, 1 Pd 3.09, 6 Sn 3.26-3.40
Tb: 0.0000 0.7953 0.2047  4 Pt 3.04-3.05, 1 Pd 3.09, 6 Sn 3.26-3.40
Nd: 0.0000 0.6155 0.6155  4 Pt 3.10, 1 Pd 3.14, 6 Sn 3.24-3.41
Sn: 0.5000 0.2023 0.4590  2 Pt 2.81-2.89, 2 Pd 2.82
Sn: 0.5000 0.4590 0.2023  2 Pt 2.81-2.89, 2 Pd 2.82
Sn: 0.5000 0.9499 0.9499  2 Pd 2.78, 2 Pt 2.90
Pd: 0.0000 0.2006 0.2006  6 Sn 2.78-2.82, 2 Tb 3.09
Pt: 0.5000 0.5358 0.8760  3 Sn 2.81-2.90, 4 Tb 3.04-3.05, 2 Nd 3.10
Pt: 0.5000 0.8760 0.5358  3 Sn 2.81-2.90, 4 Tb 3.04-3.05, 2 Nd 3.10

10.
Density functional theory data (PBE-GGA) for a relaxed structure of Nd2TmSn3PdPt2.

Its crystal system is orthorhombic. The space group is Amm2 (38).

a = 4.0830 Å, b = 7.5841 Å, c = 7.5841 Å
α = 119.68°, β = 90.00°, γ = 90.00°
Closest atoms and distances in Å follow each position.
Positions (direct):
Nd: 0.0000 0.2055 0.7945  4 Pt 3.11, 1 Pd 3.15, 6 Sn 3.26-3.43
Nd: 0.0000 0.7945 0.2055  4 Pt 3.11, 1 Pd 3.15, 6 Sn 3.26-3.43
Tm: 0.0000 0.3853 0.3853  4 Pt 3.01, 1 Pd 3.06, 2 Sn 3.28
Sn: 0.5000 0.0492 0.0492  2 Pt 2.83, 2 Pd 2.86
Sn: 0.5000 0.5385 0.7908  2 Pd 2.79, 2 Pt 2.83-2.98
Sn: 0.5000 0.7908 0.5385  2 Pd 2.79, 2 Pt 2.83-2.98
Pd: 0.0000 0.7870 0.7870  6 Sn 2.79-2.86, 1 Tm 3.06
Pt: 0.5000 0.1370 0.4576  3 Sn 2.83-2.98, 2 Tm 3.01, 4 Nd 3.11
Pt: 0.5000 0.4576 0.1370  3 Sn 2.83-2.98, 2 Tm 3.01, 4 Nd 3.11

11.
Density functional theory data (PBE-GGA) for a relaxed structure of Nd2YSn3Pd2Pt.

Its crystal system is orthorhombic. The space group is Amm2 (38).

a = 4.0984 Å, b = 7.6155 Å, c = 7.6155 Å
α = 119.93°, β = 90.00°, γ = 90.00°
Closest atoms and distances in Å follow each position.
Positions (direct):
Nd: 0.0000 0.2039 0.7961  4 Pd 3.10-3.11, 1 Pt 3.12, 6 Sn 3.29-3.42
Nd: 0.0000 0.7961 0.2039  4 Pd 3.10-3.11, 1 Pt 3.12, 6 Sn 3.29-3.42
Y: 0.0000 0.6093 0.6093  1 Pt 3.05, 4 Pd 3.06, 6 Sn 3.30-3.38
Sn: 0.5000 0.2069 0.4603  2 Pt 2.81, 2 Pd 2.86-2.94
Sn: 0.5000 0.4603 0.2069  2 Pt 2.81, 2 Pd 2.86-2.94
Sn: 0.5000 0.9492 0.9492  2 Pt 2.85, 2 Pd 2.85
Pd: 0.5000 0.5402 0.8670  3 Sn 2.85-2.94, 2 Y 3.06, 4 Nd 3.10-3.11
Pd: 0.5000 0.8670 0.5402  3 Sn 2.85-2.94, 2 Y 3.06, 4 Nd 3.10-3.11
Pt: 0.0000 0.2085 0.2085  6 Sn 2.81-2.85, 1 Y 3.05, 2 Nd 3.12

Number 1: mass density 10.03 g/cm³, energy -5.764 eV/atom. Number 2: mass density 9.99 g/cm³, energy -5.628 eV/atom. Number 3: mass density 8.86 g/cm³, energy -5.349 eV/atom. Number 4: mass density 10.08 g/cm³, energy -5.763 eV/atom. Number 5: mass density 11.70 g/cm³, energy -6.035 eV/atom. Number 6: mass density 10.03 g/cm³, energy -5.628 eV/atom. Number 7: mass density 8.85 g/cm³, energy -5.335 eV/atom. Number 8: mass density 10.15 g/cm³, energy -5.857 eV/atom. Number 9: mass density 10.80 g/cm³, energy -5.849 eV/atom. Number 10: mass density 10.66 g/cm³, energy -5.830 eV/atom. Number 11: mass density 9.20 g/cm³, energy -5.899 eV/atom.